A plane-wave DFT calculation with PBE was carried out for a relaxed structure of NiIrPb2N.

The calculation puts the density of states at the Fermi level at 4.4 states/eV per cell. The energy relative to the elements, uncorrected is 540 meV/atom.

abc: 5.182 5.182 3.435
angles: 90.00 90.00 90.00
Element x y z (fractional)
Ni 0.000 0.000 0.000
Ir 0.500 0.500 0.000
Pb 0.000 0.500 0.500
Pb 0.500 0.000 0.500
N 0.000 0.000 0.500